Computed, not measured: crystalline HfSe2BrCl at its relaxed geometry at the PBE level of DFT.

- D(E_F) (states/eV per atom) = 1.22
- energy relative to the elements, uncorrected (eV per atom) = -0.46
- SG = P4/mmm
- crystal system = tetragonal
- E above lowest polymorph (eV per formula unit) = 0.00
- total DFT energy (no corrections) (eV per atom) = -4.553

CIF file:
```
data_HfSe2BrCl
_chemical_formula_sum 'Hf1 Se2 Br1 Cl1'
_symmetry_space_group_name_H-M 'P 1'
_symmetry_Int_Tables_number 1
_cell_length_a 5.1936
_cell_length_b 5.1936
_cell_length_c 5.2335
_cell_angle_alpha 90.00
_cell_angle_beta 90.00
_cell_angle_gamma 90.00
loop_
_symmetry_equiv_pos_as_xyz
'x,y,z'
loop_
_atom_site_label
_atom_site_type_symbol
_atom_site_fract_x
_atom_site_fract_y
_atom_site_fract_z
Hf1 Hf 0.0000 0.0000 0.0000
Se1 Se 0.0000 0.5000 0.0000
Se2 Se 0.5000 0.0000 0.0000
Br1 Br 0.0000 0.0000 0.5000
Cl1 Cl 0.5000 0.5000 0.5000
```

***

Computed, not measured: crystalline LiLaNpO5 at its relaxed geometry at the PBE level of DFT.

- energy relative to the elements, uncorrected (eV per atom) = -2.93
- SG = C2/c
- crystal system = monoclinic
- total DFT energy (no corrections) (eV per atom) = -8.500

CIF file:
```
data_LiLaNpO5
_chemical_formula_sum 'Li2 La2 Np2 O10'
_symmetry_space_group_name_H-M 'P 1'
_symmetry_Int_Tables_number 1
_cell_length_a 5.9431
_cell_length_b 5.9431
_cell_length_c 7.9957
_cell_angle_alpha 105.03
_cell_angle_beta 105.03
_cell_angle_gamma 106.88
loop_
_symmetry_equiv_pos_as_xyz
'x,y,z'
loop_
_atom_site_label
_atom_site_type_symbol
_atom_site_fract_x
_atom_site_fract_y
_atom_site_fract_z
Li1 Li 0.0618 0.9382 0.7500
Li2 Li 0.9382 0.0618 0.2500
La1 La 0.4239 0.5761 0.7500
La2 La 0.5761 0.4239 0.2500
Np1 Np 0.0000 0.5000 0.0000
Np2 Np 0.5000 0.0000 0.5000
O1 O 0.1676 0.7482 0.9033
O2 O 0.2152 0.3077 0.9114
O3 O 0.2518 0.8324 0.5967
O4 O 0.3077 0.2152 0.4114
O5 O 0.3281 0.6719 0.2500
O6 O 0.6719 0.3281 0.7500
O7 O 0.6923 0.7848 0.5886
O8 O 0.7482 0.1676 0.4033
O9 O 0.7848 0.6923 0.0886
O10 O 0.8324 0.2518 0.0967
```

***

Computed, not measured: crystalline LiGdBiSb at its relaxed geometry at the PBE level of DFT.

- D(E_F) (states/eV per atom) = 0.82
- energy relative to the elements, uncorrected (eV per atom) = -0.53
- SG = F-43m
- crystal system = cubic
- total DFT energy (no corrections) (eV per atom) = -6.528

CIF file:
```
data_LiGdBiSb
_chemical_formula_sum 'Li1 Gd1 Bi1 Sb1'
_symmetry_space_group_name_H-M 'P 1'
_symmetry_Int_Tables_number 1
_cell_length_a 5.3397
_cell_length_b 5.3397
_cell_length_c 5.3397
_cell_angle_alpha 60.00
_cell_angle_beta 60.00
_cell_angle_gamma 60.00
loop_
_symmetry_equiv_pos_as_xyz
'x,y,z'
loop_
_atom_site_label
_atom_site_type_symbol
_atom_site_fract_x
_atom_site_fract_y
_atom_site_fract_z
Li1 Li 0.0000 0.0000 0.0000
Gd1 Gd 0.5000 0.5000 0.5000
Bi1 Bi 0.7500 0.7500 0.7500
Sb1 Sb 0.2500 0.2500 0.2500
```

***

Computed, not measured: crystalline AcDyBiPb at its relaxed geometry at the PBE level of DFT.

- D(E_F) (states/eV per atom) = 1.17
- SG = F-43m
- formation enthalpy at 0 K (meV/atom) = -491
- crystal system = cubic
- total DFT energy (no corrections) (eV per atom) = -4.566

CIF file:
```
data_AcDyBiPb
_chemical_formula_sum 'Ac1 Dy1 Bi1 Pb1'
_symmetry_space_group_name_H-M 'P 1'
_symmetry_Int_Tables_number 1
_cell_length_a 5.7083
_cell_length_b 5.7083
_cell_length_c 5.7083
_cell_angle_alpha 60.00
_cell_angle_beta 60.00
_cell_angle_gamma 60.00
loop_
_symmetry_equiv_pos_as_xyz
'x,y,z'
loop_
_atom_site_label
_atom_site_type_symbol
_atom_site_fract_x
_atom_site_fract_y
_atom_site_fract_z
Ac1 Ac 0.0000 0.0000 0.0000
Dy1 Dy 0.5000 0.5000 0.5000
Bi1 Bi 0.7500 0.7500 0.7500
Pb1 Pb 0.2500 0.2500 0.2500
```

***

Computed, not measured: crystalline TbDy2Ru3 at its relaxed geometry at the PBE level of DFT.

- D(E_F) (states/eV per atom) = 0.99
- SG = P4/mmm
- formation enthalpy at 0 K (meV/atom) = -315
- crystal system = tetragonal
- E above lowest polymorph (eV per formula unit) = 0.00
- total DFT energy (no corrections) (eV per atom) = -7.258

CIF file:
```
data_TbDy2Ru3
_chemical_formula_sum 'Tb1 Dy2 Ru3'
_symmetry_space_group_name_H-M 'P 1'
_symmetry_Int_Tables_number 1
_cell_length_a 3.4077
_cell_length_b 3.4077
_cell_length_c 10.1661
_cell_angle_alpha 90.00
_cell_angle_beta 90.00
_cell_angle_gamma 90.00
loop_
_symmetry_equiv_pos_as_xyz
'x,y,z'
loop_
_atom_site_label
_atom_site_type_symbol
_atom_site_fract_x
_atom_site_fract_y
_atom_site_fract_z
Tb1 Tb 0.0000 0.0000 0.0000
Dy1 Dy 0.0000 0.0000 0.3338
Dy2 Dy 0.0000 0.0000 0.6662
Ru1 Ru 0.5000 0.5000 0.1674
Ru2 Ru 0.5000 0.5000 0.5000
Ru3 Ru 0.5000 0.5000 0.8326
```

***

Computed, not measured: crystalline AcPuNiIr at its relaxed geometry at the PBE level of DFT.

- D(E_F) (states/eV per atom) = 3.23
- SG = F-43m
- formation enthalpy at 0 K (meV/atom) = -207
- crystal system = cubic
- total DFT energy (no corrections) (eV per atom) = -8.478

CIF file:
```
data_AcPuNiIr
_chemical_formula_sum 'Ac1 Pu1 Ni1 Ir1'
_symmetry_space_group_name_H-M 'P 1'
_symmetry_Int_Tables_number 1
_cell_length_a 5.0312
_cell_length_b 5.0312
_cell_length_c 5.0312
_cell_angle_alpha 60.00
_cell_angle_beta 60.00
_cell_angle_gamma 60.00
loop_
_symmetry_equiv_pos_as_xyz
'x,y,z'
loop_
_atom_site_label
_atom_site_type_symbol
_atom_site_fract_x
_atom_site_fract_y
_atom_site_fract_z
Ac1 Ac 0.0000 0.0000 0.0000
Pu1 Pu 0.5000 0.5000 0.5000
Ni1 Ni 0.7500 0.7500 0.7500
Ir1 Ir 0.2500 0.2500 0.2500
```